NaZrGaNi | PBE | relaxed

Results
Crystal system: cubic
SG: No. 216
Energy above the lowest structure with this stoichiometry in meV per atom: 0.0
Total energy in eV per formula unit: -18.8

Geometry as POSCAR:
```
NaZrGaNi
1.0
0.000 3.180 3.180
3.180 0.000 3.180
3.180 3.180 0.000
Na Ni Ga Zr
1 1 1 1
Cartesian
4.770 4.770 4.770
1.590 1.590 1.590
3.180 3.180 3.180
0.000 0.000 0.000
```